Here is a geometry-optimized Dy2SiHg structure from Alexandria via LeMat-Bulk. Energies are from PBE.

Calculated values
Formation energy (no corrections) ... -0.4877 eV/atom
Total DFT energy (no corrections) ... -4.220 eV/atom
Mass density ... 9.68 g cm⁻³
Crystal system ... tetragonal

a = 3.6729 Å, b = 3.6729 Å, c = 7.0390 Å
α = 90.00°, β = 90.00°, γ = 90.00°
Atoms (fractional coordinates):
Dy1 0.0000 0.0000 0.2302
Dy2 0.0000 0.0000 0.7698
Si1 0.5000 0.5000 0.0000
Hg1 0.5000 0.5000 0.5000